Arrangement w

VASP calculation (PBE with a Hubbard U) on an optimized crystal structure of Mn2ClF.

Cell and atoms, written as POSCAR:
```
Mn2ClF
1.0
0.000 3.314 3.314
3.314 0.000 3.314
3.314 3.314 0.000
Mn Cl F
2 1 1
Direct
0.250 0.250 0.250 Mn
0.750 0.750 0.750 Mn
0.000 0.000 0.000 Cl
0.500 0.500 0.500 F
```

Computed properties:
- ρ (g cm⁻³) = 3.750
- total magnetization (μB per cell) = 10.0



Arrangement x

VASP calculation (PBE with a Hubbard U) on an optimized crystal structure of Mn2ClF.

Cell and atoms, written as POSCAR:
```
Mn2ClF
1.0
-2.752 2.752 5.789
2.752 -2.752 5.789
2.752 2.752 -5.789
Mn Cl F
4 2 2
Direct
0.051 0.625 0.926 Mn
0.375 0.301 0.426 Mn
0.699 0.125 0.074 Mn
0.875 0.949 0.574 Mn
0.250 0.750 0.500 Cl
0.500 0.500 0.000 Cl
0.000 0.000 0.000 F
0.750 0.250 0.500 F
```

Computed properties:
- ρ (g cm⁻³) = 3.111
- total magnetization (μB per cell) = 19.2



Stability, highest: arrangement x